# 1
DFT (PBE-GGA) results for an optimized crystal structure of KCaMo.

As for the electronic total energy: -3.09 eV per atom. For the energy above the most stable polymorph in this dataset, the calculation gives 492 meV per atom. The size of the total moment is 4.76 μB per formula unit. The calculation puts the mass density at 2.23 g/cm3. Its formation enthalpy at 0 K is 1.553 eV per atom. As for the density of states at the Fermi level: 0.972 states/eV per atom.

The space group is F-43m (No. 216) and the conventional cell measures 8.050, 8.050 and 8.050 Å, with angles of 90.00, 90.00 and 90.00 degrees. Symmetry generates all atoms from K at (0.000, 0.000, 0.000), Ca at (0.000, 0.000, 0.500) and Mo at (0.250, 0.250, 0.250).

---

# 2
DFT (PBE-GGA) results for an optimized crystal structure of CrMoPb.

As for the electronic total energy: -7.30 eV per atom. For the energy above the most stable polymorph in this dataset, the calculation gives 139 meV per atom. The size of the total moment is 1.77 μB per formula unit. The calculation puts the mass density at 11.06 g/cm3. Its formation enthalpy at 0 K is 0.752 eV per atom. As for the density of states at the Fermi level: 0.645 states/eV per atom.

The space group is P3m1 (No. 156) and the conventional cell measures 4.5012, 4.5012 and 3.0386 Å, with angles of 90.00, 90.00 and 120.00 degrees. Symmetry generates all atoms from Cr at (0.0000, 0.0000, 0.0000), Mo at (0.6667, 0.3333, 0.2492) and Pb at (0.3333, 0.6667, 0.6942).

---

# 3
DFT (PBE-GGA) results for an optimized crystal structure of Ba2MnZnBr.

As for the electronic total energy: -2.95 eV per atom. The calculation puts the uncorrected formation energy at 245 meV per atom. The size of the total moment is 0.00 μB per formula unit. The calculation puts the mass density at 4.69 g/cm3. As for the density of states at the Fermi level: 1.824 states/eV per atom.

The space group is P4/mmm (No. 123) and the conventional cell measures 6.100, 6.100 and 4.521 Å, with angles of 90.00, 90.00 and 90.00 degrees. Symmetry generates all atoms from Ba at (0.000, 0.500, 0.000), Mn at (0.000, 0.000, 0.000), Zn at (0.500, 0.500, 0.500) and Br at (0.000, 0.000, 0.500).

---

# 4
DFT (PBE-GGA) results for an optimized crystal structure of Nd5Sm2Er4.

As for the electronic total energy: -4.54 eV per atom. For the energy above the most stable polymorph in this dataset, the calculation gives 0 meV per atom. The size of the total moment is 0.00 μB per formula unit. The calculation puts the mass density at 7.45 g/cm3. Its formation enthalpy at 0 K is 0.143 eV per atom. As for the density of states at the Fermi level: 1.525 states/eV per atom.

The space group is C2/m (No. 12) and the conventional cell measures 18.048, 3.587 and 12.186 Å, with angles of 90.00, 107.25 and 90.00 degrees. Symmetry generates all atoms from Nd at (0.000, 0.000, 0.000), Nd at (0.114, 0.500, 0.516), Nd at (0.166, 0.500, 0.012), Sm at (0.176, 0.000, 0.289), Er at (0.004, 0.500, 0.752) and Er at (0.170, 0.000, 0.768).

---

# 5
DFT (PBE-GGA) results for an optimized crystal structure of Sm8Ge3BiTe4.

As for the electronic total energy: -5.47 eV per atom. The calculation puts the uncorrected formation energy at -1212 meV per atom. The size of the total moment is 0.00 μB per formula unit. The calculation puts the mass density at 7.36 g/cm3. As for the density of states at the Fermi level: 0.236 states/eV per atom.

The space group is R-3m (No. 166, hexagonal axes) and the conventional cell measures 8.7683, 8.7683 and 21.7608 Å, with angles of 90.00, 90.00 and 120.00 degrees. Symmetry generates all atoms from Sm at (0.0000, 0.0000, 0.2411), Sm at (0.0132, 0.5066, 0.7572), Ge at (0.0000, 0.5000, 0.5000), Bi at (0.0000, 0.0000, 0.5000), Te at (0.0000, 0.0000, 0.0000) and Te at (0.0000, 0.5000, 0.0000).